BaSbTe: relaxed, PBE.

Lattice parameters (Å, degrees): 5.328 5.328 4.520 90.00 90.00 120.00
Positions (direct):
1 Ba 0.000 0.000 0.000
2 Sb 0.667 0.333 0.500
3 Te 0.333 0.667 0.500

Formation energy (no corrections) in meV/atom: -734
E_tot in eV/atom: -3.797
Relative energy among the computed polymorphs in meV/atom: 23.8

=====

TaAs2P: relaxed, PBE.

Lattice parameters (Å, degrees): 5.189 5.189 5.189 141.56 128.20 66.32
Positions (direct):
1 As 0.975 0.975 0.000
2 As 0.740 0.240 0.500
3 P 0.507 0.507 0.000
4 Ta 0.278 0.778 0.500

E_tot in eV/atom: -6.464

=====

YGaAsF2: relaxed, PBE.

Lattice parameters (Å, degrees): 4.282 6.001 4.282 90.00 90.00 90.00
Positions (direct):
1 Y 0.000 0.000 0.000
2 As 0.000 0.500 0.000
3 Ga 0.500 0.500 0.500
4 F 0.000 0.000 0.500
5 F 0.500 0.000 0.000

Formation energy (no corrections) in meV/atom: -2172
E_tot in eV/atom: -5.749

=====

PrAg2Au10: relaxed, PBE.

Lattice parameters (Å, degrees): 5.634 7.324 7.292 81.46 67.28 67.38
Positions (direct):
1 Pr 0.000 0.000 0.000
2 Ag 0.000 0.500 0.000
3 Ag 0.500 0.500 0.000
4 Au 0.347 0.652 0.655
5 Au 0.653 0.348 0.345
6 Au 0.998 0.348 0.655
7 Au 0.002 0.652 0.345
8 Au 0.000 0.000 0.500
9 Au 0.500 0.000 0.500
10 Au 0.286 0.215 0.213
11 Au 0.714 0.785 0.787
12 Au 0.501 0.785 0.213
13 Au 0.499 0.215 0.787

E_tot in eV/atom: -3.507

=====

InGaPd2: relaxed, PBE.

Lattice parameters (Å, degrees): 5.891 5.891 5.891 58.83 150.94 130.05
Positions (direct):
1 In 0.000 0.500 0.500
2 Ga 0.000 0.000 0.000
3 Pd 0.000 0.238 0.238
4 Pd 0.000 0.762 0.762

E_tot in eV/atom: -4.062

=====

La2Tl2Bi: relaxed, PBE.

Lattice parameters (Å, degrees): 8.477 8.477 4.833 90.00 90.00 90.00
Positions (direct):
1 Tl 0.146 0.646 0.500
2 Tl 0.646 0.854 0.500
3 Tl 0.854 0.354 0.500
4 Tl 0.354 0.146 0.500
5 Bi 0.000 0.000 0.000
6 Bi 0.500 0.500 0.000
7 La 0.344 0.844 0.000
8 La 0.844 0.656 0.000
9 La 0.656 0.156 0.000
10 La 0.156 0.344 0.000

E_tot in eV/atom: -4.067
Relative energy among the computed polymorphs in meV/atom: 97.3

=====

Pr2Os2Ru: relaxed, PBE.

Lattice parameters (Å, degrees): 4.645 6.041 8.950 110.93 90.00 112.61
Positions (direct):
1 Pr 0.652 0.304 0.000
2 Pr 0.376 0.751 0.603
3 Pr 0.348 0.696 0.000
4 Pr 0.624 0.249 0.397
5 Os 0.965 0.931 0.851
6 Os 0.927 0.853 0.347
7 Os 0.035 0.069 0.149
8 Os 0.073 0.147 0.653
9 Ru 0.289 0.578 0.276
10 Ru 0.711 0.422 0.724

E_tot in eV/atom: -8.287

=====

Lu2PuMg: relaxed, PBE.

Lattice parameters (Å, degrees): 5.369 5.369 5.369 60.00 60.00 60.00
Site moments in Bohr magnetons follow the coordinates.
Positions (direct):
1 Mg 0.500 0.500 0.500  0.01
2 Lu 0.250 0.250 0.250  -0.20
3 Lu 0.750 0.750 0.750  -0.20
4 Pu 0.000 0.000 0.000  -5.51

E_tot in eV/atom: -6.094
Relative energy among the computed polymorphs in meV/atom: 101.3